(1)
Entry from the Alexandria database: Li5ZnP2 after structural relaxation (PBE).

Unit cell a=4.341 b=4.341 c=15.761 alpha=90.00 beta=90.00 gamma=120.00
Atoms (fractional coordinates):
Li: 0.333 0.667 0.554
Li: 0.667 0.333 0.250
Li: 0.333 0.667 0.750
Li: 0.000 0.000 0.359
Li: 0.667 0.333 0.446
Li: 0.000 0.000 0.641
Li: 0.667 0.333 0.054
Li: 0.000 0.000 0.859
Li: 0.333 0.667 0.946
Li: 0.000 0.000 0.141
P: 0.333 0.667 0.108
P: 0.333 0.667 0.392
P: 0.667 0.333 0.892
P: 0.667 0.333 0.608
Zn: 0.333 0.667 0.250
Zn: 0.667 0.333 0.750

## Properties
E = -0.1177 hartree per atom
Space group = P6_3/mmc
Volume = 257 Å³ per cell
Spin magnetization = 0.000 μB/f.u.

(2)
Entry from the Alexandria database: Al2CrReSi after structural relaxation (PBE).

Unit cell a=4.508 b=4.192 c=4.508 alpha=90.00 beta=90.00 gamma=90.00
Atoms (fractional coordinates):
Al: 0.500 0.000 0.000
Al: 0.000 0.000 0.500
Si: 0.000 0.000 0.000
Cr: 0.000 0.500 0.000
Re: 0.500 0.500 0.500

## Properties
Energy relative to the elements, uncorrected = 28.93 kcal/mol of atoms
Space group = P4/mmm
Volume = 85 Å³ per cell
Spin magnetization = 2.939 μB/f.u.

(3)
Entry from the Alexandria database: AcTmCd after structural relaxation (PBE).

Unit cell a=3.845 b=3.845 c=7.083 alpha=105.75 beta=105.75 gamma=90.00
Atoms (fractional coordinates):
Tm: 0.309 0.309 0.618
Ac: 0.006 0.006 0.011
Cd: 0.685 0.685 0.370

## Properties
E = -0.1219 hartree per atom
Space group = I4mm
Volume = 97 Å³ per cell
Spin magnetization = 0.280 μB/f.u.

(4)
Entry from the Alexandria database: ZrP7 after structural relaxation (PBE).

Unit cell a=5.584 b=5.584 c=5.584 alpha=60.00 beta=60.00 gamma=60.00
Atoms (fractional coordinates):
Zr: 0.000 0.000 0.000
P: 0.500 0.000 0.500
P: 0.000 0.500 0.500
P: 0.500 0.500 0.000
P: 0.500 0.500 0.500
P: 0.000 0.000 0.500
P: 0.000 0.500 0.000
P: 0.500 0.000 0.000

## Properties
E = -0.1997 hartree per atom
Space group = Fm-3m
Volume = 123 Å³ per cell
Spin magnetization = 0.000 μB/f.u.

(5)
Entry from the Alexandria database: ZnTeMo2 after structural relaxation (PBE).

Unit cell a=5.226 b=5.226 c=5.226 alpha=142.44 beta=126.81 gamma=66.92
Atoms (fractional coordinates):
Mo: 0.004 0.004 0.000
Mo: 0.496 0.496 0.000
Te: 0.750 0.250 0.500
Zn: 0.250 0.750 0.500

## Properties
Energy relative to the elements, uncorrected = 11.08 kcal/mol of atoms
Space group = Immm
Volume = 69 Å³ per cell
Spin magnetization = 0.000 μB/f.u.

(6)
Entry from the Alexandria database: Cu3SbS3 after structural relaxation (PBE).

Unit cell a=7.812 b=10.211 c=13.554 alpha=90.00 beta=90.01 gamma=90.00
Atoms (fractional coordinates):
Sb: 0.788 0.253 0.948
Sb: 0.290 0.243 0.799
Sb: 0.788 0.247 0.448
Sb: 0.290 0.257 0.299
Sb: 0.212 0.747 0.052
Sb: 0.710 0.743 0.701
Sb: 0.212 0.753 0.552
Sb: 0.710 0.757 0.201
Cu: 0.844 0.095 0.704
Cu: 0.572 0.470 0.094
Cu: 0.665 0.607 0.453
Cu: 0.240 0.397 0.069
Cu: 0.698 0.394 0.676
Cu: 0.698 0.106 0.176
Cu: 0.052 0.049 0.140
Cu: 0.302 0.606 0.324
Cu: 0.156 0.905 0.296
Cu: 0.844 0.405 0.204
Cu: 0.302 0.894 0.824
Cu: 0.665 0.893 0.953
Cu: 0.428 0.530 0.906
Cu: 0.156 0.595 0.796
Cu: 0.335 0.393 0.547
Cu: 0.052 0.451 0.640
Cu: 0.240 0.103 0.569
Cu: 0.428 0.970 0.406
Cu: 0.572 0.030 0.594
Cu: 0.760 0.603 0.931
Cu: 0.760 0.897 0.431
Cu: 0.948 0.951 0.860
Cu: 0.335 0.107 0.047
Cu: 0.948 0.549 0.360
S: 0.691 0.433 0.343
S: 0.447 0.747 0.423
S: 0.664 0.073 0.340
S: 0.691 0.067 0.843
S: 0.938 0.767 0.333
S: 0.447 0.753 0.923
S: 0.309 0.567 0.657
S: 0.336 0.927 0.660
S: 0.309 0.933 0.157
S: 0.830 0.577 0.094
S: 0.553 0.247 0.077
S: 0.938 0.733 0.833
S: 0.553 0.253 0.577
S: 0.830 0.923 0.594
S: 0.664 0.427 0.840
S: 0.062 0.233 0.667
S: 0.062 0.267 0.167
S: 0.336 0.573 0.160
S: 0.170 0.423 0.906
S: 0.815 0.935 0.092
S: 0.185 0.065 0.908
S: 0.185 0.435 0.408
S: 0.815 0.565 0.592
S: 0.170 0.077 0.406

## Properties
Energy relative to the elements, uncorrected = -4.47 kcal/mol of atoms
Space group = P2_1/c
Volume = 1081 Å³ per cell
Spin magnetization = 0.000 μB/f.u.

Question: Look up the spin magnetization of the fourth one.
Answer: 0.000 μB/f.u.

Question: What is the formula in the second record?
Answer: Al2CrReSi